Material: CaReIr2
Method: DFT, PBE-GGA
State: relaxed

Properties
ΔE to the lowest computed polymorph, meV/atom: 0.0
E_form, meV/atom: 34
Crystal system: orthorhombic
Energy, eV/cell: -32.0

abc: 3.4933 2.8441 7.7717
angles: 68.57 90.00 90.00
Positions (direct):
Ir 0.0000 0.9447 0.0546
Ir 0.0000 0.5553 0.4454
Re 0.5000 0.2500 0.2500
Ca 0.5000 0.7500 0.7500